Compound: LiVIO2
Source: Alexandria
Functional: GGA+U
Structure: optimized geometry

```
data_LiVIO2
_chemical_formula_sum 'Li1 V1 I1 O2'
_space_group_name_H-M_alt 'P 1'
_space_group_IT_number 1
_cell_length_a 3.801
_cell_length_b 3.801
_cell_length_c 5.911
_cell_angle_alpha 90.00
_cell_angle_beta 90.00
_cell_angle_gamma 90.00
loop_
_space_group_symop_operation_xyz
'x,y,z'
loop_
_atom_site_label
_atom_site_type_symbol
_atom_site_fract_x
_atom_site_fract_y
_atom_site_fract_z
Li1 Li 0.000 0.000 0.000
V1 V 0.500 0.500 0.500
I1 I 0.500 0.500 0.000
O1 O 0.000 0.500 0.500
O2 O 0.500 0.000 0.500
```

Properties
Size of the total moment = 0.997 μB per formula unit
Energy = -5.391 eV/atom